No. 1
# LiCrRu2 GGA-PBE optimized geometry
data_LiCrRu2
_chemical_formula_sum 'Li1 Cr1 Ru2'
_cell_length_a 2.611
_cell_length_b 4.031
_cell_length_c 4.905
_cell_angle_alpha 90.00
_cell_angle_beta 94.51
_cell_angle_gamma 90.00
_space_group_name_H-M_alt 'P 1 2/m 1'
_space_group_IT_number 10
loop_
_space_group_symop_operation_xyz
'x,y,z'
'-x,-y,-z'
'-x,y,-z'
'x,-y,z'
loop_
_atom_site_label
_atom_site_type_symbol
_atom_site_fract_x
_atom_site_fract_y
_atom_site_fract_z
Li1 Li 0.000 0.000 0.000
Cr1 Cr 0.500 0.000 0.500
Ru1 Ru 0.260 0.500 0.757
# - Theoretical density: 8.423 Mg/m³
# - ΔE to the lowest computed polymorph: 136 meV per atom
# - Crystal system: monoclinic
# - Formation energy: 0.21 eV/atom


No. 2
# SrLaZn3 GGA-PBE optimized geometry
data_SrLaZn3
_chemical_formula_sum 'Sr1 La1 Zn3'
_cell_length_a 5.608
_cell_length_b 5.608
_cell_length_c 5.608
_cell_angle_alpha 90.00
_cell_angle_beta 90.00
_cell_angle_gamma 90.00
_space_group_name_H-M_alt 'P m -3 m'
_space_group_IT_number 221
_space_group_name_Hall '-P 4 2 3'
loop_
_atom_site_label
_atom_site_type_symbol
_atom_site_fract_x
_atom_site_fract_y
_atom_site_fract_z
Sr1 Sr 0.000 0.000 0.000
La1 La 0.500 0.500 0.500
Zn1 Zn 0.000 0.500 0.500
# - Theoretical density: 3.980 Mg/m³
# - ΔE to the lowest computed polymorph: 626 meV per atom
# - Crystal system: cubic
# - Formation energy: 0.38 eV/atom


No. 3
# RbBeHg3 GGA-PBE optimized geometry
data_RbBeHg3
_chemical_formula_sum 'Rb1 Be1 Hg3'
_cell_length_a 5.117
_cell_length_b 5.117
_cell_length_c 5.117
_cell_angle_alpha 90.00
_cell_angle_beta 90.00
_cell_angle_gamma 90.00
_space_group_name_H-M_alt 'P m -3 m'
_space_group_IT_number 221
_space_group_name_Hall '-P 4 2 3'
loop_
_atom_site_label
_atom_site_type_symbol
_atom_site_fract_x
_atom_site_fract_y
_atom_site_fract_z
Rb1 Rb 0.000 0.000 0.000
Be1 Be 0.500 0.500 0.500
Hg1 Hg 0.000 0.500 0.500
# - Theoretical density: 8.631 Mg/m³
# - ΔE to the lowest computed polymorph: 0 meV per atom
# - Crystal system: cubic
# - Formation energy: 0.01 eV/atom


No. 4
# BaNdHf4O12 GGA-PBE optimized geometry
data_BaNdHf4O12
_chemical_formula_sum 'Ba2 Nd2 Hf8 O24'
_cell_length_a 8.202
_cell_length_b 8.212
_cell_length_c 8.266
_cell_angle_alpha 90.00
_cell_angle_beta 90.00
_cell_angle_gamma 90.00
_space_group_name_H-M_alt 'A m m 2'
_space_group_IT_number 38
loop_
_space_group_symop_operation_xyz
'x,y,z'
'-x,-y,z'
'-x,y,z'
'x,-y,z'
'x,y+1/2,z+1/2'
'-x,-y+1/2,z+1/2'
'-x,y+1/2,z+1/2'
'x,-y+1/2,z+1/2'
loop_
_atom_site_label
_atom_site_type_symbol
_atom_site_fract_x
_atom_site_fract_y
_atom_site_fract_z
Ba1 Ba 0.000 0.000 0.000
Nd1 Nd 0.500 0.000 0.452
Hf1 Hf 0.253 0.241 0.729
O1 O 0.000 0.229 0.734
O2 O 0.245 0.000 0.251
O3 O 0.255 0.232 0.980
O4 O 0.305 0.000 0.688
O5 O 0.500 0.210 0.255
# - Theoretical density: 7.084 Mg/m³
# - Raw formation energy: -2.96 eV/atom
# - Crystal system: orthorhombic


No. 5
# ErZr2Sc5 GGA-PBE optimized geometry
data_ErZr2Sc5
_chemical_formula_sum 'Er4 Zr8 Sc20'
_cell_length_a 6.591
_cell_length_b 10.358
_cell_length_c 11.557
_cell_angle_alpha 90.00
_cell_angle_beta 90.00
_cell_angle_gamma 90.00
_space_group_name_H-M_alt 'F m m 2'
_space_group_IT_number 42
_space_group_name_Hall 'F 2 -2'
loop_
_atom_site_label
_atom_site_type_symbol
_atom_site_fract_x
_atom_site_fract_y
_atom_site_fract_z
Er1 Er 0.000 0.000 0.000
Zr1 Zr 0.000 0.247 0.666
Sc1 Sc 0.000 0.000 0.501
Sc2 Sc 0.249 0.000 0.246
Sc3 Sc 0.250 0.250 0.410
# - Theoretical density: 4.836 Mg/m³
# - Crystal system: orthorhombic
# - Formation energy: 0.01 eV/atom


No. 6
# AlFe3H GGA-PBE optimized geometry
data_AlFe3H
_chemical_formula_sum 'Al8 Fe24 H8'
_cell_length_a 10.729
_cell_length_b 7.577
_cell_length_c 5.099
_cell_angle_alpha 90.00
_cell_angle_beta 103.72
_cell_angle_gamma 90.00
_space_group_name_H-M_alt 'C 1 2/c 1'
_space_group_IT_number 15
loop_
_space_group_symop_operation_xyz
'x,y,z'
'-x,-y,-z'
'-x,y,-z+1/2'
'x,-y,z+1/2'
'x+1/2,y+1/2,z'
'-x+1/2,-y+1/2,-z'
'-x+1/2,y+1/2,-z+1/2'
'x+1/2,-y+1/2,z+1/2'
loop_
_atom_site_label
_atom_site_type_symbol
_atom_site_fract_x
_atom_site_fract_y
_atom_site_fract_z
Al1 Al 0.000 0.007 0.250
Al2 Al 0.000 0.358 0.750
Fe1 Fe 0.169 0.170 0.586
Fe2 Fe 0.170 0.171 0.084
Fe3 Fe 0.181 0.499 0.091
H1 H 0.133 0.336 0.318
# - Theoretical density: 6.450 Mg/m³
# - ΔE to the lowest computed polymorph: 184 meV per atom
# - Crystal system: monoclinic


No. 7
# ReAsH2 GGA-PBE optimized geometry
data_ReAsH2
_chemical_formula_sum 'Re4 As4 H8'
_cell_length_a 5.686
_cell_length_b 5.686
_cell_length_c 4.920
_cell_angle_alpha 90.00
_cell_angle_beta 90.00
_cell_angle_gamma 90.00
_space_group_name_H-M_alt 'I -4 2 d'
_space_group_IT_number 122
_space_group_name_Hall 'I -4 2bw'
loop_
_atom_site_label
_atom_site_type_symbol
_atom_site_fract_x
_atom_site_fract_y
_atom_site_fract_z
Re1 Re 0.000 0.000 0.000
As1 As 0.000 0.000 0.500
H1 H 0.165 0.250 0.125
# - Theoretical density: 10.987 Mg/m³
# - ΔE to the lowest computed polymorph: 0 meV per atom
# - Crystal system: tetragonal


No. 8
# Np2GaRu GGA-PBE optimized geometry
data_Np2GaRu
_chemical_formula_sum 'Np2 Ga1 Ru1'
_cell_length_a 4.164
_cell_length_b 4.164
_cell_length_c 4.298
_cell_angle_alpha 90.00
_cell_angle_beta 90.00
_cell_angle_gamma 90.00
_space_group_name_H-M_alt 'P 4/m m m'
_space_group_IT_number 123
_space_group_name_Hall '-P 4 2'
loop_
_atom_site_label
_atom_site_type_symbol
_atom_site_fract_x
_atom_site_fract_y
_atom_site_fract_z
Np1 Np 0.000 0.500 0.000
Ga1 Ga 0.000 0.000 0.500
Ru1 Ru 0.500 0.500 0.500
# - Theoretical density: 14.368 Mg/m³
# - ΔE to the lowest computed polymorph: 2 meV per atom
# - Crystal system: tetragonal
# - Formation energy: -0.01 eV/atom


No. 9
# HfMn2Cr2 GGA-PBE optimized geometry
data_HfMn2Cr2
_chemical_formula_sum 'Hf4 Mn8 Cr8'
_cell_length_a 3.839
_cell_length_b 3.839
_cell_length_c 19.260
_cell_angle_alpha 90.00
_cell_angle_beta 90.00
_cell_angle_gamma 90.00
_space_group_name_H-M_alt 'I 4/m m m'
_space_group_IT_number 139
_space_group_name_Hall '-I 4 2'
loop_
_atom_site_label
_atom_site_type_symbol
_atom_site_fract_x
_atom_site_fract_y
_atom_site_fract_z
Hf1 Hf 0.000 0.000 0.126
Mn1 Mn 0.000 0.000 0.313
Mn2 Mn 0.000 0.500 0.000
Cr1 Cr 0.000 0.000 0.430
Cr2 Cr 0.000 0.500 0.250
# - Theoretical density: 9.183 Mg/m³
# - ΔE to the lowest computed polymorph: 82 meV per atom
# - Crystal system: tetragonal
# - Formation energy: 0.11 eV/atom


No. 10
# Fe2PRu GGA-PBE optimized geometry
data_Fe2PRu
_chemical_formula_sum 'Fe8 P4 Ru4'
_cell_length_a 5.038
_cell_length_b 5.038
_cell_length_c 10.295
_cell_angle_alpha 90.00
_cell_angle_beta 90.00
_cell_angle_gamma 90.00
_space_group_name_H-M_alt 'I -4 2 d'
_space_group_IT_number 122
_space_group_name_Hall 'I -4 2bw'
loop_
_atom_site_label
_atom_site_type_symbol
_atom_site_fract_x
_atom_site_fract_y
_atom_site_fract_z
Fe1 Fe 0.232 0.250 0.125
P1 P 0.000 0.000 0.000
Ru1 Ru 0.000 0.000 0.500
# - Theoretical density: 6.196 Mg/m³
# - Crystal system: tetragonal
# - Formation energy: 0.61 eV/atom


No. 11
# Tb2GaN GGA-PBE optimized geometry
data_Tb2GaN
_chemical_formula_sum 'Tb6 Ga3 N3'
_cell_length_a 3.5508
_cell_length_b 3.5508
_cell_length_c 22.0587
_cell_angle_alpha 90.00
_cell_angle_beta 90.00
_cell_angle_gamma 120.00
_space_group_name_H-M_alt 'R -3 m'
_space_group_IT_number 166
_space_group_name_Hall '-R 3 2"'
loop_
_atom_site_label
_atom_site_type_symbol
_atom_site_fract_x
_atom_site_fract_y
_atom_site_fract_z
Tb1 Tb 0.0000 0.0000 0.2289
Ga1 Ga 0.0000 0.0000 0.0000
N1 N 0.0000 0.0000 0.5000
# - Theoretical density: 8.306 Mg/m³
# - Raw formation energy: -1.02 eV/atom
# - Crystal system: trigonal


No. 12
# Pr2ThZn2Cu2 GGA-PBE optimized geometry
data_Pr2ThZn2Cu2
_chemical_formula_sum 'Pr6 Th3 Zn6 Cu6'
_cell_length_a 4.4859
_cell_length_b 4.4859
_cell_length_c 28.3758
_cell_angle_alpha 90.00
_cell_angle_beta 90.00
_cell_angle_gamma 120.00
_space_group_name_H-M_alt 'R -3 m'
_space_group_IT_number 166
_space_group_name_Hall '-R 3 2"'
loop_
_atom_site_label
_atom_site_type_symbol
_atom_site_fract_x
_atom_site_fract_y
_atom_site_fract_z
Pr1 Pr 0.0000 0.0000 0.1210
Th1 Th 0.0000 0.0000 0.0000
Zn1 Zn 0.0000 0.0000 0.2686
Cu1 Cu 0.0000 0.0000 0.3932
# - Theoretical density: 7.775 Mg/m³
# - Crystal system: trigonal
# - Formation energy: -0.19 eV/atom


Question: Among the records above, which one has the lowest theoretical density?
Answer: SrLaZn3


Question: Which formula does entry 11 have?
Answer: Tb2GaN


Question: Number 9 is which compound?
Answer: HfMn2Cr2